1.
## KSeI2O (GGA-PBE)

Data for a relaxed structure of KSeI2O.

Lattice parameters (Å, degrees): 6.3097 6.3097 4.2934 90.00 90.00 90.00
Positions (direct):
Se  0.5000  0.5000  0.5000
K  0.0000  0.0000  0.0000
O  0.0000  0.0000  0.5000
I  0.5000  0.0000  0.0000
I  0.0000  0.5000  0.0000

Calculated values
uncorrected energy = -1.85 eV per atom

---

2.
## BaHfIr3 (GGA-PBE)

Data for a relaxed structure of BaHfIr3.

Lattice parameters (Å, degrees): 4.9887 4.9887 4.9887 90.00 90.00 90.00
Positions (direct):
Hf  0.0000  0.0000  0.0000
Ir  0.5000  0.0000  0.0000
Ba  0.5000  0.5000  0.5000
Ir  0.0000  0.5000  0.0000
Ir  0.0000  0.0000  0.5000

Calculated values
energy relative to the elements = 567 meV per atom
uncorrected energy = -7.12 eV per atom

---

3.
## Ba2MnIn (GGA-PBE)

Data for a relaxed structure of Ba2MnIn.

Lattice parameters (Å, degrees): 11.4108 11.4108 8.4714 47.66 47.66 90.00
Site moments in Bohr magnetons follow the coordinates.
Positions (direct):
In  0.7500  0.2500  0.5000  0.04
Ba  0.3122  0.6250  0.2500  0.02
Mn  0.2500  0.7500  0.5000  -0.33
Ba  0.4378  0.1250  0.2500  0.02
Mn  0.5000  0.5000  0.0000  -0.33
In  0.0000  0.0000  0.0000  0.04
Ba  0.8750  0.6878  0.7500  0.03
Ba  0.3750  0.5622  0.7500  0.03

Calculated values
energy relative to the elements = 517 meV per atom
uncorrected energy = -3.42 eV per atom

---

4.
## LiHoAlPb (GGA-PBE)

Data for a relaxed structure of LiHoAlPb.

Lattice parameters (Å, degrees): 5.0953 5.0953 5.0953 60.00 60.00 60.00
Positions (direct):
Pb  0.0000  0.0000  0.0000
Li  0.2500  0.2500  0.2500
Al  0.5000  0.5000  0.5000
Ho  0.7500  0.7500  0.7500

Calculated values
energy relative to the elements = -210 meV per atom
uncorrected energy = -3.70 eV per atom

---

5.
## HfCrAgS4 (GGA-PBE)

Data for a relaxed structure of HfCrAgS4.

Lattice parameters (Å, degrees): 3.6134 12.5177 11.9710 89.36 90.00 90.00
Site moments in Bohr magnetons follow the coordinates.
Positions (direct):
Hf  0.5000  0.6756  0.2103  0.04
S  0.5000  0.6857  0.7626  -0.02
Hf  0.0000  0.8121  0.6868  0.03
Cr  0.0000  0.9028  0.0809  2.85
S  0.0000  0.9522  0.8772  -0.02
S  0.5000  0.0350  0.1262  -0.03
S  0.0000  0.8158  0.2643  -0.03
S  0.5000  0.2889  0.4725  -0.05
S  0.5000  0.2040  0.7387  -0.04
S  0.5000  0.5318  0.3838  -0.08
Hf  0.5000  0.1809  0.2991  0.04
S  0.5000  0.4274  0.8795  -0.07
S  0.0000  0.3145  0.2361  -0.01
S  0.0000  0.4650  0.6178  -0.13
Hf  0.5000  0.0924  0.9186  0.04
S  0.0000  0.7059  0.5190  -0.05
S  0.0000  0.5720  0.1187  -0.01
S  0.0000  0.0706  0.3885  -0.01
Ag  0.5000  0.8920  0.4117  0.00
Cr  0.0000  0.4034  0.4246  2.90
S  0.5000  0.9361  0.6201  0.00
Ag  0.5000  0.3846  0.0866  0.01
Cr  0.5000  0.5912  0.5794  2.89
Ag  0.0000  0.5895  0.9031  -0.01
Cr  0.0000  0.3287  0.7981  2.94
S  0.0000  0.2223  0.9664  -0.04
S  0.5000  0.7887  0.0345  -0.07
Ag  0.0000  0.1311  0.5948  -0.01

Calculated values
uncorrected energy = -6.40 eV per atom

---

6.
## ReH2Pt2 (GGA-PBE)

Data for a relaxed structure of ReH2Pt2.

Lattice parameters (Å, degrees): 6.7199 6.7199 2.6832 90.00 90.00 90.00
Site moments in Bohr magnetons follow the coordinates.
Positions (direct):
Pt  0.2184  0.2816  0.5000  0.02
H  0.6032  0.1032  0.0000  0.00
Pt  0.2816  0.7816  0.5000  0.02
Pt  0.7816  0.7184  0.5000  0.02
Pt  0.7184  0.2184  0.5000  0.02
Re  0.0000  0.0000  0.0000  0.45
H  0.3968  0.8968  0.0000  0.00
H  0.8968  0.6032  0.0000  0.00
Re  0.5000  0.5000  0.0000  0.46
H  0.1032  0.3968  0.0000  0.00

Calculated values
uncorrected energy = -6.01 eV per atom